[1]
First-principles (PBE) data for a geometry-optimized LiAsW2 structure, as listed in the Alexandria database.

Computed properties:
Crystal system: orthorhombic
DFT total energy in eV/atom: -7.508

Geometry as CIF:
```
data_LiAsW2
_cell_length_a 3.131
_cell_length_b 4.606
_cell_length_c 8.934
_cell_angle_alpha 90.00
_cell_angle_beta 90.00
_cell_angle_gamma 90.00
_symmetry_space_group_name_H-M 'C m m m'
_symmetry_Int_Tables_number 65
_symmetry_space_group_name_Hall '-C 2 2'
loop_
_atom_site_label
_atom_site_type_symbol
_atom_site_fract_x
_atom_site_fract_y
_atom_site_fract_z
Li1 Li 0.000 0.000 0.000
As1 As 0.000 0.000 0.500
W1 W 0.000 0.500 0.266
```



[2]
First-principles (PBE) data for a geometry-optimized LiAsW2 structure, as listed in the Alexandria database.

Computed properties:
Crystal system: tetragonal
DFT total energy in eV/atom: -7.556

Geometry as CIF:
```
data_LiAsW2
_cell_length_a 3.726
_cell_length_b 3.726
_cell_length_c 18.830
_cell_angle_alpha 90.00
_cell_angle_beta 90.00
_cell_angle_gamma 90.00
_symmetry_space_group_name_H-M 'I -4 2 d'
_symmetry_Int_Tables_number 122
_symmetry_space_group_name_Hall 'I -4 2bw'
loop_
_atom_site_label
_atom_site_type_symbol
_atom_site_fract_x
_atom_site_fract_y
_atom_site_fract_z
Li1 Li 0.000 0.000 0.000
As1 As 0.000 0.000 0.500
W1 W 0.245 0.250 0.125
```



[3]
First-principles (PBE) data for a geometry-optimized LiAsW2 structure, as listed in the Alexandria database.

Computed properties:
Crystal system: monoclinic
DFT total energy in eV/atom: -7.753

Geometry as CIF:
```
data_LiAsW2
_cell_length_a 8.720
_cell_length_b 2.950
_cell_length_c 4.770
_cell_angle_alpha 90.00
_cell_angle_beta 100.26
_cell_angle_gamma 90.00
_symmetry_space_group_name_H-M 'C 1 m 1'
_symmetry_Int_Tables_number 8
loop_
_symmetry_equiv_pos_as_xyz
'x,y,z'
'x,-y,z'
'x+1/2,y+1/2,z'
'x+1/2,-y+1/2,z'
loop_
_atom_site_label
_atom_site_type_symbol
_atom_site_fract_x
_atom_site_fract_y
_atom_site_fract_z
Li1 Li 0.000 0.000 0.000
As1 As 0.243 0.500 0.233
W1 W 0.244 0.000 0.750
W2 W 0.480 0.000 0.484
```



[4]
First-principles (PBE) data for a geometry-optimized Li4AsW structure, as listed in the Alexandria database.

Computed properties:
Crystal system: cubic
DFT total energy in eV/atom: -3.727

Geometry as CIF:
```
data_Li4AsW
_cell_length_a 7.018
_cell_length_b 7.018
_cell_length_c 7.018
_cell_angle_alpha 90.00
_cell_angle_beta 90.00
_cell_angle_gamma 90.00
_symmetry_space_group_name_H-M 'F -4 3 m'
_symmetry_Int_Tables_number 216
_symmetry_space_group_name_Hall 'F -4 2 3'
loop_
_atom_site_label
_atom_site_type_symbol
_atom_site_fract_x
_atom_site_fract_y
_atom_site_fract_z
Li1 Li 0.124 0.124 0.124
As1 As 0.000 0.000 0.500
W1 W 0.250 0.250 0.750
```



[5]
First-principles (PBE) data for a geometry-optimized LiAsW3 structure, as listed in the Alexandria database.

Computed properties:
Crystal system: cubic
DFT total energy in eV/atom: -7.446

Geometry as CIF:
```
data_LiAsW3
_cell_length_a 4.257
_cell_length_b 4.257
_cell_length_c 4.257
_cell_angle_alpha 90.00
_cell_angle_beta 90.00
_cell_angle_gamma 90.00
_symmetry_space_group_name_H-M 'P m -3 m'
_symmetry_Int_Tables_number 221
_symmetry_space_group_name_Hall '-P 4 2 3'
loop_
_atom_site_label
_atom_site_type_symbol
_atom_site_fract_x
_atom_site_fract_y
_atom_site_fract_z
Li1 Li 0.000 0.000 0.000
As1 As 0.500 0.500 0.500
W1 W 0.000 0.000 0.500
```



[6]
First-principles (PBE) data for a geometry-optimized LiAsW2 structure, as listed in the Alexandria database.

Computed properties:
Crystal system: trigonal
DFT total energy in eV/atom: -7.539

Geometry as CIF:
```
data_LiAsW2
_cell_length_a 2.8841
_cell_length_b 2.8841
_cell_length_c 27.0365
_cell_angle_alpha 90.00
_cell_angle_beta 90.00
_cell_angle_gamma 120.00
_symmetry_space_group_name_H-M 'R -3 m'
_symmetry_Int_Tables_number 166
_symmetry_space_group_name_Hall '-R 3 2"'
loop_
_atom_site_label
_atom_site_type_symbol
_atom_site_fract_x
_atom_site_fract_y
_atom_site_fract_z
Li1 Li 0.0000 0.0000 0.0000
As1 As 0.0000 0.0000 0.5000
W1 W 0.0000 0.0000 0.2433
```



[7]
First-principles (PBE) data for a geometry-optimized LiAsW2 structure, as listed in the Alexandria database.

Computed properties:
Crystal system: tetragonal
DFT total energy in eV/atom: -7.971

Geometry as CIF:
```
data_LiAsW2
_cell_length_a 3.276
_cell_length_b 3.276
_cell_length_c 5.619
_cell_angle_alpha 90.00
_cell_angle_beta 90.00
_cell_angle_gamma 90.00
_symmetry_space_group_name_H-M 'P 4 m m'
_symmetry_Int_Tables_number 99
loop_
_symmetry_equiv_pos_as_xyz
'x,y,z'
'-y,x,z'
'-x,-y,z'
'y,-x,z'
'-x,y,z'
'y,x,z'
'x,-y,z'
'-y,-x,z'
loop_
_atom_site_label
_atom_site_type_symbol
_atom_site_fract_x
_atom_site_fract_y
_atom_site_fract_z
Li1 Li 0.000 0.000 0.000
As1 As 0.500 0.500 0.775
W1 W 0.000 0.000 0.501
W2 W 0.500 0.500 0.263
```



[8]
First-principles (PBE) data for a geometry-optimized Li2As2W structure, as listed in the Alexandria database.

Computed properties:
Crystal system: tetragonal
DFT total energy in eV/atom: -5.384

Geometry as CIF:
```
data_Li2As2W
_cell_length_a 6.611
_cell_length_b 6.611
_cell_length_c 3.653
_cell_angle_alpha 90.00
_cell_angle_beta 90.00
_cell_angle_gamma 90.00
_symmetry_space_group_name_H-M 'P 4/m b m'
_symmetry_Int_Tables_number 127
_symmetry_space_group_name_Hall '-P 4 2ab'
loop_
_atom_site_label
_atom_site_type_symbol
_atom_site_fract_x
_atom_site_fract_y
_atom_site_fract_z
Li1 Li 0.156 0.344 0.000
As1 As 0.151 0.651 0.500
W1 W 0.000 0.000 0.500
```